## Tm8TcOs2 (PBE-GGA)

Data for a relaxed Tm8TcOs2 crystal.

Cell lengths 5.604, 7.469, 7.469 Å; angles 111.94, 99.74, 99.74 degrees
Fractional positions:
Tm: 0.578 0.330 0.072
Tm: 0.181 0.362 0.362
Tm: 0.396 0.678 0.936
Os: 0.496 0.692 0.321
Tm: 0.807 0.644 0.644
Tm: 0.396 0.936 0.678
Tm: 0.578 0.072 0.330
Tm: 0.993 0.221 0.778
Tc: 0.087 0.002 0.002
Tm: 0.993 0.778 0.221
Os: 0.496 0.321 0.692

Density of states at the Fermi level: 8.55 states/eV/cell
ΔE_f: -155 meV/atom
Energy above the lowest structure with this stoichiometry: 5.5 kJ/mol of atoms

***

## Tm6Tc2Os (PBE-GGA)

Data for a relaxed Tm6Tc2Os crystal.

Cell lengths 8.192, 8.192, 8.192 Å; angles 108.65, 110.91, 108.87 degrees
Fractional positions:
Os: 0.000 0.500 0.500
Tm: 0.303 0.639 0.336
Tc: 0.500 0.379 0.879
Tc: 0.324 0.000 0.324
Tm: 0.191 0.728 0.919
Os: 0.000 0.000 0.000
Tc: 0.676 0.000 0.676
Tm: 0.303 0.966 0.664
Tm: 0.920 0.748 0.172
Tm: 0.809 0.728 0.537
Tm: 0.576 0.748 0.828
Tm: 0.424 0.252 0.172
Tm: 0.809 0.272 0.081
Tm: 0.697 0.361 0.664
Tm: 0.080 0.252 0.828
Tc: 0.500 0.621 0.121
Tm: 0.191 0.272 0.463
Tm: 0.697 0.034 0.336

Density of states at the Fermi level: 15.13 states/eV/cell
ΔE_f: -123 meV/atom

***

The records above give, respectively, volume values of 276.4; 211.5 Å³/f.u..